A geometry-optimized Rb2VBrF6 structure. Source: Alexandria via LeMat-Bulk, functional PBE with a Hubbard U.

abc: 9.7284 9.7284 9.7284
angles: 90.00 90.00 90.00
Space group Fm-3m (No. 225)
One atom of each set of equivalent atoms:
Rb: 0.2500 0.2500 0.2500 [8 per cell]
V: 0.0000 0.0000 0.0000 [4 per cell]
Br: 0.0000 0.0000 0.5000 [4 per cell]
F: 0.0000 0.0000 0.1879 [24 per cell]

Magnetic moment in μB per atom: 0.00
V in Å³/f.u.: 230.2
Total energy in eV/cell: -183.8